Computed, not measured: a relaxed structure of Na2Cd6AgAu at the PBE level of DFT.

abc: 7.1969 7.1969 36.4916
angles: 90.00 90.00 120.00
Space group R-3m (No. 166, hexagonal axes)
Unique sites:
Na: 0.0000 0.0000 0.1060
Na: 0.0000 0.0000 0.2821
Cd: 0.0504 0.5252 0.2997
Cd: 0.0640 0.5320 0.8675
Ag: 0.0000 0.0000 0.4251
Au: 0.0000 0.0000 0.0000
Au: 0.0000 0.0000 0.5000

Results
For the size of the total moment, the calculation gives 0.00 μB per atom. For the calculated total energy, the calculation gives -87.35 eV for the cell shown. The density of states at the Fermi level comes out at 0.30 states/eV per atom.